Entry 1:
## Ba3Sr (GGA-PBE)

Data for crystalline Ba3Sr at its relaxed geometry.

Calculated values
- Energy: -1.860 eV per atom
- Space group: No. 65
- Magnetization: 0.0 Bohr magnetons per cell
- Crystal system: orthorhombic
- ΔE to the lowest computed polymorph: 2.4 meV per atom

a = 4.293 Å, b = 4.293 Å, c = 13.970 Å
α = 90.00°, β = 90.00°, γ = 109.15°
Fractional coordinates of all 4 atoms:
Ba: 0.000 0.000 0.000
Ba: 0.500 0.500 0.254
Ba: 0.500 0.500 0.746
Sr: 0.000 0.000 0.500

=====

Entry 2:
## Ba17Sr12 (GGA-PBE)

Data for crystalline Ba17Sr12 at its relaxed geometry.

Calculated values
- Energy: -1.783 eV per atom
- Space group: No. 217
- Magnetization: 1.9 Bohr magnetons per cell
- Crystal system: cubic

a = 13.195 Å, b = 13.195 Å, c = 13.195 Å
α = 109.47°, β = 109.47°, γ = 109.47°
Fractional coordinates of all 29 atoms:
Ba: 0.000 0.000 0.000
Ba: 0.000 0.000 0.356
Ba: 0.000 0.315 0.591
Ba: 0.000 0.356 0.000
Ba: 0.000 0.591 0.315
Ba: 0.277 0.685 0.685
Ba: 0.315 0.000 0.591
Ba: 0.315 0.591 0.000
Ba: 0.356 0.000 0.000
Ba: 0.409 0.409 0.723
Ba: 0.409 0.723 0.409
Ba: 0.591 0.000 0.315
Ba: 0.591 0.315 0.000
Ba: 0.644 0.644 0.644
Ba: 0.685 0.277 0.685
Ba: 0.685 0.685 0.277
Ba: 0.723 0.409 0.409
Sr: 0.000 0.625 0.813
Sr: 0.000 0.813 0.625
Sr: 0.187 0.187 0.813
Sr: 0.187 0.375 0.375
Sr: 0.187 0.813 0.187
Sr: 0.375 0.187 0.375
Sr: 0.375 0.375 0.187
Sr: 0.625 0.000 0.813
Sr: 0.625 0.813 0.000
Sr: 0.813 0.000 0.625
Sr: 0.813 0.187 0.187
Sr: 0.813 0.625 0.000

=====

Entry 3:
## Ba8Sr (GGA-PBE)

Data for crystalline Ba8Sr at its relaxed geometry.

Calculated values
- Energy: -1.880 eV per atom
- Space group: No. 139
- Magnetization: 0.0 Bohr magnetons per cell
- Crystal system: tetragonal

a = 9.986 Å, b = 9.986 Å, c = 9.986 Å
α = 95.78°, β = 95.78°, γ = 142.99°
Fractional coordinates of all 9 atoms:
Ba: 0.000 0.332 0.332
Ba: 0.000 0.668 0.668
Ba: 0.332 0.000 0.332
Ba: 0.335 0.335 0.669
Ba: 0.335 0.665 0.000
Ba: 0.665 0.335 0.000
Ba: 0.665 0.665 0.331
Ba: 0.668 0.000 0.668
Sr: 0.000 0.000 0.000

=====

Entry 4:
## Ba5Sr4 (GGA-PBE)

Data for crystalline Ba5Sr4 at its relaxed geometry.

Calculated values
- Energy: -1.812 eV per atom
- Space group: No. 71
- Magnetization: 0.0 Bohr magnetons per cell
- Crystal system: orthorhombic
- ΔE to the lowest computed polymorph: 0.6 meV per atom

a = 10.683 Å, b = 10.683 Å, c = 10.683 Å
α = 153.51°, β = 93.13°, γ = 92.89°
Fractional coordinates of all 9 atoms:
Ba: 0.000 0.000 0.000
Ba: 0.330 0.000 0.330
Ba: 0.331 0.331 0.000
Ba: 0.669 0.669 0.000
Ba: 0.670 0.000 0.670
Sr: 0.000 0.331 0.669
Sr: 0.000 0.669 0.331
Sr: 0.338 0.669 0.669
Sr: 0.662 0.331 0.331

=====

Entry 5:
## BaSr6 (GGA-PBE)

Data for crystalline BaSr6 at its relaxed geometry.

Calculated values
- Energy: -1.548 eV per atom
- Space group: No. 125
- Magnetization: 0.0 Bohr magnetons per cell
- Crystal system: tetragonal
- ΔE to the lowest computed polymorph: 164.7 meV per atom

a = 7.882 Å, b = 7.882 Å, c = 13.334 Å
α = 90.00°, β = 90.00°, γ = 90.00°
Fractional coordinates of all 14 atoms:
Ba: 0.250 0.750 0.000
Ba: 0.750 0.250 0.000
Sr: 0.076 0.576 0.365
Sr: 0.076 0.924 0.635
Sr: 0.250 0.250 0.148
Sr: 0.250 0.250 0.852
Sr: 0.424 0.576 0.635
Sr: 0.424 0.924 0.365
Sr: 0.576 0.076 0.635
Sr: 0.576 0.424 0.365
Sr: 0.750 0.750 0.148
Sr: 0.750 0.750 0.852
Sr: 0.924 0.076 0.365
Sr: 0.924 0.424 0.635

=====

Entry 6:
## Ba2Sr (GGA-PBE)

Data for crystalline Ba2Sr at its relaxed geometry.

Calculated values
- Energy: -1.387 eV per atom
- Space group: No. 205
- Magnetization: 7.6 Bohr magnetons per cell
- Crystal system: cubic
- ΔE to the lowest computed polymorph: 453.7 meV per atom

a = 9.391 Å, b = 9.391 Å, c = 9.391 Å
α = 90.00°, β = 90.00°, γ = 90.00°
Fractional coordinates of all 12 atoms:
Ba: 0.140 0.140 0.140
Ba: 0.140 0.360 0.640
Ba: 0.360 0.640 0.140
Ba: 0.360 0.860 0.640
Ba: 0.640 0.140 0.360
Ba: 0.640 0.360 0.860
Ba: 0.860 0.640 0.360
Ba: 0.860 0.860 0.860
Sr: 0.000 0.000 0.500
Sr: 0.000 0.500 0.000
Sr: 0.500 0.000 0.000
Sr: 0.500 0.500 0.500

=====

Entry 7:
## Ba3Sr (GGA-PBE)

Data for crystalline Ba3Sr at its relaxed geometry.

Calculated values
- Energy: -1.843 eV per atom
- Space group: No. 221
- Magnetization: 0.0 Bohr magnetons per cell
- Crystal system: cubic
- ΔE to the lowest computed polymorph: 19.5 meV per atom

a = 6.285 Å, b = 6.285 Å, c = 6.285 Å
α = 90.00°, β = 90.00°, γ = 90.00°
Fractional coordinates of all 4 atoms:
Ba: 0.000 0.000 0.500
Ba: 0.000 0.500 0.000
Ba: 0.500 0.000 0.000
Sr: 0.500 0.500 0.500

=====

Entry 8:
## BaSr3 (GGA-PBE)

Data for crystalline BaSr3 at its relaxed geometry.

Calculated values
- Energy: -1.737 eV per atom
- Space group: No. 225
- Magnetization: 0.0 Bohr magnetons per cell
- Crystal system: cubic
- ΔE to the lowest computed polymorph: 5.0 meV per atom

a = 6.813 Å, b = 6.813 Å, c = 6.813 Å
α = 60.00°, β = 60.00°, γ = 60.00°
Fractional coordinates of all 4 atoms:
Ba: 0.000 0.000 0.000
Sr: 0.250 0.250 0.250
Sr: 0.500 0.500 0.500
Sr: 0.750 0.750 0.750

=====

Entry 9:
## BaSr4 (GGA-PBE)

Data for crystalline BaSr4 at its relaxed geometry.

Calculated values
- Energy: -1.230 eV per atom
- Space group: No. 229
- Magnetization: 0.1 Bohr magnetons per cell
- Crystal system: cubic
- ΔE to the lowest computed polymorph: 487.2 meV per atom

a = 7.648 Å, b = 7.648 Å, c = 7.648 Å
α = 109.47°, β = 109.47°, γ = 109.47°
Fractional coordinates of all 5 atoms:
Ba: 0.000 0.000 0.000
Sr: 0.000 0.000 0.500
Sr: 0.000 0.500 0.000
Sr: 0.500 0.000 0.000
Sr: 0.500 0.500 0.500

=====

Entry 10:
## Ba4Sr5 (GGA-PBE)

Data for crystalline Ba4Sr5 at its relaxed geometry.

Calculated values
- Energy: -1.779 eV per atom
- Space group: No. 139
- Magnetization: 0.0 Bohr magnetons per cell
- Crystal system: tetragonal
- ΔE to the lowest computed polymorph: 0.0 meV per atom

a = 9.689 Å, b = 9.689 Å, c = 9.689 Å
α = 96.08°, β = 96.08°, γ = 142.02°
Fractional coordinates of all 9 atoms:
Ba: 0.000 0.328 0.328
Ba: 0.000 0.672 0.672
Ba: 0.328 0.000 0.328
Ba: 0.672 0.000 0.672
Sr: 0.000 0.000 0.000
Sr: 0.335 0.335 0.671
Sr: 0.335 0.665 0.000
Sr: 0.665 0.335 0.000
Sr: 0.665 0.665 0.329

=====

Short version: energy of formation from the pure elements = 0.00 0.04 0.02 0.00 0.17 0.46 0.02 0.01 0.50 0.01 eV/atom, in the order given.